Compound: ReIr2Cl
Source: Alexandria via LeMat-Bulk
Functional: GGA-PBE
Structure: relaxed

Computed properties:
**Electronic total energy**: -7.293 eV per atom
**Excess energy over the best structure of this formula in the dataset**: 0.419 eV/atom
**E_form (uncorrected)**: 0.711 eV per atom
**Crystal system**: monoclinic
**Space group**: C2/m (12)

Cell: 5.043 5.043 4.482 Å, 91.14 91.14 32.16°
Fractional coordinates of all 4 atoms:
Re 0.000 0.000 0.000
Ir 0.278 0.278 0.759
Ir 0.722 0.722 0.241
Cl 0.500 0.500 0.500

---

Compound: La2PaH4
Source: Alexandria via LeMat-Bulk
Functional: GGA-PBE
Structure: relaxed

Computed properties:
**Electronic total energy**: -4.850 eV per atom
**Crystal system**: tetragonal
**Space group**: I4/mmm (139)

Cell: 7.277 7.277 7.277 Å, 147.13 147.13 47.17°
Fractional coordinates of all 7 atoms:
La 0.153 0.153 0.000
La 0.847 0.847 0.000
Pa 0.500 0.500 0.000
H 0.000 0.500 0.500
H 0.332 0.332 0.000
H 0.500 0.000 0.500
H 0.668 0.668 0.000

---

Compound: Li8HgPd6
Source: Alexandria via LeMat-Bulk
Functional: GGA-PBE
Structure: relaxed

Computed properties:
**Electronic total energy**: -3.365 eV per atom
**Formation enthalpy at 0 K**: -0.25 eV per atom
**Crystal system**: trigonal
**Space group**: R-3 (148)

Cell: 6.753 6.753 6.753 Å, 69.41 69.41 69.41°
Fractional coordinates of all 15 atoms:
Li 0.070 0.700 0.369
Li 0.166 0.166 0.166
Li 0.300 0.631 0.930
Li 0.369 0.070 0.700
Li 0.631 0.930 0.300
Li 0.700 0.369 0.070
Li 0.834 0.834 0.834
Li 0.930 0.300 0.631
Hg 0.500 0.500 0.500
Pd 0.111 0.460 0.799
Pd 0.201 0.889 0.540
Pd 0.460 0.799 0.111
Pd 0.540 0.201 0.889
Pd 0.799 0.111 0.460
Pd 0.889 0.540 0.201

---

Compound: MgAlI3
Source: Alexandria via LeMat-Bulk
Functional: GGA-PBE
Structure: relaxed

Computed properties:
**Electronic total energy**: -2.397 eV per atom
**Excess energy over the best structure of this formula in the dataset**: 0.000 eV/atom
**E_form (uncorrected)**: -0.400 eV per atom
**Crystal system**: cubic
**Space group**: Pm-3m (221)

Cell: 5.753 5.753 5.753 Å, 90.00 90.00 90.00°
Fractional coordinates of all 5 atoms:
Mg 0.000 0.000 0.000
Al 0.500 0.500 0.500
I 0.000 0.000 0.500
I 0.000 0.500 0.000
I 0.500 0.000 0.000

---

Compound: RbPaTaN4
Source: Alexandria via LeMat-Bulk
Functional: GGA-PBE
Structure: relaxed

Computed properties:
**Electronic total energy**: -8.708 eV per atom
**E_form (uncorrected)**: -0.763 eV per atom
**Crystal system**: monoclinic
**Space group**: P2_1/m (11)

Cell: 6.103 6.021 8.038 Å, 90.00 105.88 90.00°
Fractional coordinates of all 14 atoms:
Rb 0.117 0.250 0.112
Rb 0.883 0.750 0.888
Pa 0.167 0.750 0.463
Pa 0.833 0.250 0.537
Ta 0.388 0.250 0.672
Ta 0.612 0.750 0.328
N 0.162 0.013 0.660
N 0.162 0.487 0.660
N 0.278 0.750 0.225
N 0.436 0.250 0.448
N 0.564 0.750 0.552
N 0.722 0.250 0.775
N 0.838 0.513 0.340
N 0.838 0.987 0.340

---

Compound: AlHg2I4
Source: Alexandria via LeMat-Bulk
Functional: GGA-PBE
Structure: relaxed

Computed properties:
**Electronic total energy**: -1.866 eV per atom
**E_form (uncorrected)**: -0.359 eV per atom
**Crystal system**: monoclinic
**Space group**: P2_1/m (11)

Cell: 7.056 8.743 10.880 Å, 90.00 103.51 90.00°
Fractional coordinates of all 14 atoms:
Al 0.087 0.250 0.316
Al 0.913 0.750 0.684
Hg 0.257 0.750 0.424
Hg 0.398 0.250 0.930
Hg 0.602 0.750 0.070
Hg 0.743 0.250 0.576
I 0.187 0.012 0.208
I 0.187 0.488 0.208
I 0.240 0.250 0.555
I 0.286 0.750 0.721
I 0.714 0.250 0.279
I 0.760 0.750 0.445
I 0.813 0.512 0.792
I 0.813 0.988 0.792

---

Compound: RbTe2Cl4
Source: Alexandria via LeMat-Bulk
Functional: GGA-PBE
Structure: relaxed

Computed properties:
**Electronic total energy**: -2.495 eV per atom
**Excess energy over the best structure of this formula in the dataset**: 0.419 eV/atom
**E_form (uncorrected)**: -0.404 eV per atom
**Crystal system**: tetragonal
**Space group**: I4/mmm (139)

Cell: 9.099 9.099 9.099 Å, 140.00 140.00 57.86°
Fractional coordinates of all 7 atoms:
Rb 0.000 0.000 0.000
Te 0.389 0.389 0.000
Te 0.611 0.611 0.000
Cl 0.000 0.500 0.500
Cl 0.241 0.241 0.000
Cl 0.500 0.000 0.500
Cl 0.759 0.759 0.000

---

Compound: Pm2Ga7Au
Source: Alexandria via LeMat-Bulk
Functional: GGA-PBE
Structure: relaxed

Computed properties:
**Electronic total energy**: -3.887 eV per atom
**Formation enthalpy at 0 K**: -0.49 eV per atom
**Crystal system**: tetragonal
**Space group**: P-4m2 (115)

Cell: 4.352 4.352 10.610 Å, 90.00 90.00 90.00°
Fractional coordinates of all 10 atoms:
Pm 0.000 0.500 0.247
Pm 0.500 0.000 0.753
Ga 0.000 0.000 0.000
Ga 0.000 0.000 0.500
Ga 0.000 0.500 0.635
Ga 0.000 0.500 0.865
Ga 0.500 0.000 0.135
Ga 0.500 0.000 0.365
Ga 0.500 0.500 0.500
Au 0.500 0.500 0.000

---

Compound: NaDy2Mn
Source: Alexandria via LeMat-Bulk
Functional: GGA-PBE
Structure: relaxed

Computed properties:
**Electronic total energy**: -4.767 eV per atom
**Formation enthalpy at 0 K**: 0.16 eV per atom
**Crystal system**: tetragonal
**Space group**: P4/mmm (123)

Cell: 3.457 3.457 9.259 Å, 90.00 90.00 90.00°
Fractional coordinates of all 4 atoms:
Na 0.000 0.000 0.000
Dy 0.500 0.500 0.318
Dy 0.500 0.500 0.682
Mn 0.000 0.000 0.500

---

Compound: LiMoRuS2
Source: Alexandria via LeMat-Bulk
Functional: GGA-PBE
Structure: relaxed

Computed properties:
**Electronic total energy**: -5.002 eV per atom
**Excess energy over the best structure of this formula in the dataset**: 0.139 eV/atom
**E_form (uncorrected)**: 1.053 eV per atom
**Crystal system**: tetragonal
**Space group**: P4/mmm (123)

Cell: 4.166 4.166 4.139 Å, 90.00 90.00 90.00°
Fractional coordinates of all 5 atoms:
Li 0.000 0.000 0.000
Mo 0.000 0.000 0.500
Ru 0.500 0.500 0.500
S 0.000 0.500 0.000
S 0.500 0.000 0.000

---

Compound: CaIrI2O
Source: Alexandria via LeMat-Bulk
Functional: GGA-PBE
Structure: relaxed

Computed properties:
**Electronic total energy**: -4.363 eV per atom
**Excess energy over the best structure of this formula in the dataset**: 0.000 eV/atom
**E_form (uncorrected)**: -0.578 eV per atom
**Crystal system**: tetragonal
**Space group**: P4/mmm (123)

Cell: 5.771 5.771 3.807 Å, 90.00 90.00 90.00°
Fractional coordinates of all 5 atoms:
Ca 0.000 0.000 0.000
Ir 0.500 0.500 0.500
I 0.000 0.500 0.500
I 0.500 0.000 0.500
O 0.500 0.500 0.000

---

Compound: Ce4AgPb3
Source: Alexandria via LeMat-Bulk
Functional: GGA-PBE
Structure: relaxed

Computed properties:
**Electronic total energy**: -4.980 eV per atom
**Formation enthalpy at 0 K**: -0.27 eV per atom
**Crystal system**: orthorhombic
**Space group**: Pmm2 (25)

Cell: 4.520 4.627 11.817 Å, 90.00 90.00 90.00°
Fractional coordinates of all 8 atoms:
Ce 0.000 0.000 0.000
Ce 0.000 0.500 0.257
Ce 0.500 0.000 0.481
Ce 0.500 0.500 0.760
Ag 0.500 0.000 0.208
Pb 0.000 0.000 0.727
Pb 0.000 0.500 0.529
Pb 0.500 0.500 0.038

---

| no. | M_tot (Bohr magnetons per cell) |
| --- | --- |
| 1 | 0.00 |
| 2 | 0.27 |
| 3 | 0.00 |
| 4 | 0.00 |
| 5 | 1.33 |
| 6 | 0.00 |
| 7 | 3.04 |
| 8 | 0.00 |
| 9 | 2.27 |
| 10 | 0.00 |
| 11 | 0.00 |
| 12 | 4.27 |